Entry 1:
DFT (PBE) results for an optimized crystal structure of Pm2Al3Ni4.

Cell and atoms, written as POSCAR:
```
Pm2Al3Ni4
1.0
2.785 -7.741 0.000
2.785 7.741 0.000
0.000 0.000 6.926
Pm Al Ni
4 6 8
Cartesian
2.785 6.116 6.343
2.785 1.625 2.880
2.785 -1.625 4.046
2.785 -6.116 0.583
0.000 0.000 3.463
1.392 3.616 5.194
1.392 -3.616 1.731
2.785 0.000 0.000
4.177 3.616 5.194
4.177 -3.616 1.731
2.785 5.089 3.525
1.392 1.118 5.194
1.392 -1.118 1.731
2.785 2.652 0.062
2.785 -2.652 6.863
4.177 1.118 5.194
4.177 -1.118 1.731
2.785 -5.089 3.401
```

**Raw total energy**: -96.877 eV/cell
**Size of the total moment**: 0.00 μB/f.u.
**Symmetry**: Cmce (64)

Entry 2:
DFT (PBE) results for an optimized crystal structure of LiGa2Bi2.

Cell and atoms, written as POSCAR:
```
LiGa2Bi2
1.0
-2.723 2.723 4.627
2.723 -2.723 4.627
2.723 2.723 -4.627
Li Ga Bi
1 2 2
Cartesian
0.000 0.000 0.000
0.000 0.000 3.393
0.000 0.000 5.861
2.723 0.000 2.314
0.000 2.723 2.314
```

**Size of the total moment**: 0.00 μB/f.u.
**Symmetry**: I4/mmm (139)
**ΔE to the lowest computed polymorph**: 35 meV/atom